[1]
Material: ThFeOs
Method: DFT, PBE-GGA
State: optimized geometry

Results
Space group ... No. 216
VASP energy ... -8.696 eV/atom
ΔE_f ... 0.29 eV/atom

a = 4.414 Å, b = 4.414 Å, c = 4.414 Å
α = 60.00°, β = 60.00°, γ = 60.00°
Atoms (fractional coordinates):
1 Th 0.000 0.000 0.000
2 Fe 0.250 0.250 0.250
3 Os 0.500 0.500 0.500

=====

[2]
Material: SmZnInTe3
Method: DFT, PBE-GGA
State: optimized geometry

Results
Space group ... No. 11
Offset from the most stable computed form ... 25 meV per atom
VASP energy ... -3.786 eV/atom

a = 8.819 Å, b = 4.386 Å, c = 11.126 Å
α = 90.00°, β = 107.62°, γ = 90.00°
Atoms (fractional coordinates):
1 Sm 0.193 0.250 0.143
2 Sm 0.807 0.750 0.857
3 Zn 0.421 0.750 0.390
4 Zn 0.579 0.250 0.610
5 In 0.237 0.750 0.707
6 In 0.763 0.250 0.293
7 Te 0.059 0.250 0.850
8 Te 0.270 0.250 0.447
9 Te 0.453 0.750 0.160
10 Te 0.547 0.250 0.840
11 Te 0.730 0.750 0.553
12 Te 0.941 0.750 0.150

=====

[3]
Material: TaAlOs2
Method: DFT, PBE-GGA
State: optimized geometry

Results
Space group ... No. 216
Offset from the most stable computed form ... 641 meV per atom
VASP energy ... -9.423 eV/atom

a = 4.424 Å, b = 4.424 Å, c = 4.424 Å
α = 60.00°, β = 60.00°, γ = 60.00°
Atoms (fractional coordinates):
1 Ta 0.000 0.000 0.000
2 Al 0.750 0.750 0.750
3 Os 0.250 0.250 0.250
4 Os 0.500 0.500 0.500

=====

[4]
Material: LaHoMo2C3
Method: DFT, PBE-GGA
State: optimized geometry

Results
Space group ... No. 8
VASP energy ... -8.637 eV/atom

a = 5.963 Å, b = 5.963 Å, c = 5.848 Å
α = 105.43°, β = 105.43°, γ = 33.60°
Atoms (fractional coordinates):
1 La 0.000 0.000 0.000
2 Ho 0.779 0.779 0.352
3 Mo 0.239 0.239 0.786
4 Mo 0.545 0.545 0.555
5 C 0.121 0.121 0.439
6 C 0.389 0.389 0.657
7 C 0.671 0.671 0.910

=====

[5]
Material: Sr2IrPb
Method: DFT, PBE-GGA
State: optimized geometry

Results
Space group ... No. 216
VASP energy ... -3.987 eV/atom

a = 5.254 Å, b = 5.254 Å, c = 5.254 Å
α = 60.00°, β = 60.00°, γ = 60.00°
Atoms (fractional coordinates):
1 Sr 0.000 0.000 0.000
2 Sr 0.250 0.250 0.250
3 Ir 0.750 0.750 0.750
4 Pb 0.500 0.500 0.500

=====

[6]
Material: Pr3Tm3Te2Pt
Method: DFT, PBE-GGA
State: optimized geometry

Results
Space group ... No. 189
Offset from the most stable computed form ... 183 meV per atom
VASP energy ... -5.237 eV/atom

a = 8.655 Å, b = 8.655 Å, c = 3.937 Å
α = 90.00°, β = 90.00°, γ = 120.00°
Atoms (fractional coordinates):
1 Pr 0.000 0.748 0.000
2 Pr 0.252 0.252 0.000
3 Pr 0.748 0.000 0.000
4 Tm 0.000 0.403 0.500
5 Tm 0.403 0.000 0.500
6 Tm 0.597 0.597 0.500
7 Te 0.333 0.667 0.000
8 Te 0.667 0.333 0.000
9 Pt 0.000 0.000 0.500